DFT (PBE-GGA) results for TlPbI4 after structural relaxation.

Computed properties:
The space-group type is C2/m. As for the magnetization: 0.0 μB per cell. As for the uncorrected formation energy: -0.473 eV/atom. For the uncorrected energy, the calculation gives -2.5191 eV per atom. The density of states at the Fermi level comes out at 0.737 states/eV per atom.

Cell and atoms, written as POSCAR:
```
TlPbI4
1.0
-4.159 1.227 -1.419
4.580 -1.382 -7.282
-3.125 -6.456 3.577
I Pb Tl
4 1 1
Direct
0.629 0.258 0.957
0.872 0.744 0.541
0.371 0.742 0.043
0.128 0.256 0.459
0.500 0.000 0.500
0.000 0.000 0.000
```